Entry 1:
Compound: Dy6Ho8Cd
Source: Alexandria via LeMat-Bulk
Functional: PBE
Structure: optimized geometry

Crystal system: trigonal
N(E_F), states/eV/cell: 19.89
Energy relative to the elements, eV/atom: 0.2264

Unit cell a=9.1296 b=9.1296 c=6.6791 alpha=90.00 beta=90.00 gamma=120.00
Space group P-3 (No. 147)
Symmetry-distinct sites (fractional):
Dy: 0.0796 0.6797 0.1061 x6
Ho: 0.0135 0.3252 0.3866 x6
Ho: 0.3333 0.6667 0.6787 x2
Cd: 0.0000 0.0000 0.0000 x1

***

Entry 2:
Compound: Dy3Ho2Cd6
Source: Alexandria via LeMat-Bulk
Functional: PBE
Structure: optimized geometry

Crystal system: tetragonal
N(E_F), states/eV/cell: 19.28
Energy relative to the elements, eV/atom: 0.1115

Unit cell a=4.9311 b=4.9311 c=27.8874 alpha=90.00 beta=90.00 gamma=90.00
Space group I4/mmm (No. 139)
Symmetry-distinct sites (fractional):
Dy: 0.0000 0.0000 0.0000 x2
Dy: 0.0000 0.0000 0.1389 x4
Ho: 0.0000 0.0000 0.3659 x4
Cd: 0.0000 0.0000 0.2529 x4
Cd: 0.0000 0.5000 0.0660 x8